Record 1
The following is a PBE calculation of a relaxed Sr6AlAg2 crystal, from Alexandria via LeMat-Bulk.

a = 11.123 Å, b = 8.948 Å, c = 7.716 Å
α = 83.40°, β = 53.04°, γ = 43.56°
Fractional coordinates of all 9 atoms:
Sr1 0.035 0.299 0.701
Sr2 0.299 0.035 0.965
Sr3 0.365 0.635 0.365
Sr4 0.635 0.365 0.635
Sr5 0.701 0.965 0.035
Sr6 0.965 0.701 0.299
Al1 0.000 0.000 0.000
Ag1 0.338 0.338 0.662
Ag2 0.662 0.662 0.338

Values from the calculation:
The total magnetic moment is 0.0 μB/f.u. For the total energy, the calculation gives -20.95 eV for the cell shown. Its formation energy is -157.1 meV per atom. As for the space group: Fmmm.



Record 2
The following is a PBE calculation of a relaxed Sm5Tm8Mg crystal, from Alexandria via LeMat-Bulk.

a = 8.360 Å, b = 8.360 Å, c = 8.360 Å
α = 110.51°, β = 110.51°, γ = 107.42°
Fractional coordinates of all 14 atoms:
Sm1 0.000 0.000 0.000
Sm2 0.315 0.207 0.683
Sm3 0.368 0.685 0.892
Sm4 0.524 0.632 0.317
Sm5 0.793 0.476 0.108
Tm1 0.023 0.767 0.604
Tm2 0.064 0.333 0.906
Tm3 0.163 0.419 0.396
Tm4 0.233 0.837 0.256
Tm5 0.428 0.158 0.094
Tm6 0.581 0.977 0.744
Tm7 0.667 0.572 0.730
Tm8 0.842 0.936 0.270
Mg1 0.750 0.250 0.500

Values from the calculation:
The total magnetic moment is 0.0 μB/f.u. For the total energy, the calculation gives -57.77 eV for the cell shown. Its formation energy is 228.0 meV per atom. As for the space group: I-4.



Record 3
The following is a PBE calculation of a relaxed Y2CrGa crystal, from Alexandria via LeMat-Bulk.

a = 7.763 Å, b = 7.763 Å, c = 5.966 Å
α = 90.00°, β = 90.00°, γ = 90.00°
Fractional coordinates of all 16 atoms:
Y1 0.232 0.250 0.125
Y2 0.250 0.732 0.375
Y3 0.250 0.768 0.875
Y4 0.268 0.250 0.625
Y5 0.732 0.750 0.625
Y6 0.750 0.232 0.875
Y7 0.750 0.268 0.375
Y8 0.768 0.750 0.125
Cr1 0.000 0.000 0.000
Cr2 0.000 0.500 0.250
Cr3 0.500 0.000 0.750
Cr4 0.500 0.500 0.500
Ga1 0.000 0.000 0.500
Ga2 0.000 0.500 0.750
Ga3 0.500 0.000 0.250
Ga4 0.500 0.500 0.000

Values from the calculation:
The total magnetic moment is 0.0 μB/f.u. For the total energy, the calculation gives -93.75 eV for the cell shown. Its formation energy is 535.0 meV per atom. As for the space group: I-42d.



Record 4
The following is a PBE calculation of a relaxed Er2SnIr crystal, from Alexandria via LeMat-Bulk.

a = 7.130 Å, b = 7.130 Å, c = 7.130 Å
α = 90.00°, β = 90.00°, γ = 90.00°
Fractional coordinates of all 16 atoms:
Er1 0.250 0.250 0.250
Er2 0.250 0.250 0.750
Er3 0.250 0.750 0.250
Er4 0.250 0.750 0.750
Er5 0.750 0.250 0.250
Er6 0.750 0.250 0.750
Er7 0.750 0.750 0.250
Er8 0.750 0.750 0.750
Sn1 0.000 0.000 0.000
Sn2 0.000 0.500 0.500
Sn3 0.500 0.000 0.500
Sn4 0.500 0.500 0.000
Ir1 0.000 0.000 0.500
Ir2 0.000 0.500 0.000
Ir3 0.500 0.000 0.000
Ir4 0.500 0.500 0.500

Values from the calculation:
The total magnetic moment is 0.0 μB/f.u. For the total energy, the calculation gives -98.02 eV for the cell shown. Its formation energy is -629.1 meV per atom. The value obtained for the energy above the most stable polymorph in this dataset is 150 meV/atom. As for the space group: Fm-3m.



Record 5
The following is a PBE calculation of a relaxed Tb3NdDy6Sc2 crystal, from Alexandria via LeMat-Bulk.

a = 6.081 Å, b = 6.081 Å, c = 11.645 Å
α = 94.97°, β = 94.97°, γ = 119.96°
Fractional coordinates of all 12 atoms:
Tb1 0.000 0.000 0.000
Tb2 0.333 0.667 0.000
Tb3 0.667 0.333 0.000
Nd1 0.500 0.500 0.500
Dy1 0.081 0.417 0.254
Dy2 0.246 0.246 0.746
Dy3 0.417 0.081 0.254
Dy4 0.583 0.919 0.746
Dy5 0.754 0.754 0.254
Dy6 0.919 0.583 0.746
Sc1 0.167 0.833 0.500
Sc2 0.833 0.167 0.500

Values from the calculation:
The total magnetic moment is 0.0 μB/f.u. For the total energy, the calculation gives -58.51 eV for the cell shown. Its formation energy is 35.3 meV per atom. As for the space group: C2/m.



Record 6
The following is a PBE calculation of a relaxed Na2PbO3 crystal, from Alexandria via LeMat-Bulk.

a = 5.819 Å, b = 5.819 Å, c = 11.362 Å
α = 94.97°, β = 94.97°, γ = 120.03°
Fractional coordinates of all 24 atoms:
Na1 0.000 0.500 0.500
Na2 0.085 0.915 0.750
Na3 0.160 0.320 0.000
Na4 0.320 0.160 0.500
Na5 0.500 0.000 0.000
Na6 0.680 0.840 0.500
Na7 0.840 0.680 0.000
Na8 0.915 0.085 0.250
Pb1 0.249 0.751 0.250
Pb2 0.418 0.582 0.750
Pb3 0.582 0.418 0.250
Pb4 0.751 0.249 0.750
O1 0.045 0.238 0.637
O2 0.122 0.591 0.861
O3 0.238 0.045 0.137
O4 0.315 0.483 0.361
O5 0.409 0.878 0.639
O6 0.483 0.315 0.861
O7 0.517 0.685 0.139
O8 0.591 0.122 0.361
O9 0.685 0.517 0.639
O10 0.762 0.955 0.863
O11 0.878 0.409 0.139
O12 0.955 0.762 0.363

Values from the calculation:
The total magnetic moment is 0.0 μB/f.u. For the total energy, the calculation gives -116.96 eV for the cell shown. As for the space group: C2/c.



Record 7
The following is a PBE calculation of a relaxed Hf3Ga3Pd2Pt crystal, from Alexandria via LeMat-Bulk.

a = 7.200 Å, b = 7.200 Å, c = 6.975 Å
α = 90.00°, β = 90.00°, γ = 120.00°
Fractional coordinates of all 18 atoms:
Hf1 0.022 0.612 0.000
Hf2 0.388 0.411 0.000
Hf3 0.415 0.387 0.500
Hf4 0.589 0.978 0.000
Hf5 0.613 0.028 0.500
Hf6 0.972 0.585 0.500
Ga1 0.004 0.270 0.250
Ga2 0.004 0.270 0.750
Ga3 0.266 0.996 0.250
Ga4 0.266 0.996 0.750
Ga5 0.730 0.734 0.250
Ga6 0.730 0.734 0.750
Pd1 0.000 0.000 0.000
Pd2 0.000 0.000 0.500
Pd3 0.333 0.667 0.284
Pd4 0.333 0.667 0.716
Pt1 0.667 0.333 0.216
Pt2 0.667 0.333 0.784

Values from the calculation:
The total magnetic moment is 0.0 μB/f.u. For the total energy, the calculation gives -125.40 eV for the cell shown. Its formation energy is -814.6 meV per atom. As for the space group: P-6.



Record 8
The following is a PBE calculation of a relaxed Er2PuTh crystal, from Alexandria via LeMat-Bulk.

a = 3.495 Å, b = 3.495 Å, c = 9.928 Å
α = 90.00°, β = 90.00°, γ = 90.00°
Fractional coordinates of all 4 atoms:
Er1 0.000 0.000 0.248
Er2 0.000 0.000 0.752
Pu1 0.500 0.500 0.000
Th1 0.500 0.500 0.500

Values from the calculation:
The total magnetic moment is 6.5 μB/f.u. For the total energy, the calculation gives -30.46 eV for the cell shown. Its formation energy is 105.6 meV per atom. The value obtained for the energy above the most stable polymorph in this dataset is 0 meV/atom. As for the space group: P4/mmm.